(1)
Compound: CdCoCuF6
Source: Alexandria
Functional: PBE+U
Structure: relaxed

It has space group P-31c (No. 163), with a = 5.3444 Å, b = 5.3444 Å, c = 9.6056 Å, α = 90.00°, β = 90.00° and γ = 120.00°. Symmetry generates all atoms from Cd at (0.0000, 0.0000, 0.0000), Co at (0.3333, 0.6667, 0.2500), Cu at (0.3333, 0.6667, 0.7500) and F at (0.0001, 0.3499, 0.1365).

Its total energy is -4.292 eV/atom. The value obtained for the density of states at the Fermi level is 12.6 states/eV/cell.

(2)
Compound: CdCoCu2F8
Source: Alexandria
Functional: PBE+U
Structure: relaxed

It has space group I-4 (No. 82), with a = 5.273 Å, b = 5.273 Å, c = 10.494 Å, α = 90.00°, β = 90.00° and γ = 90.00°. Symmetry generates all atoms from Cd at (0.000, 0.000, 0.000), Co at (0.000, 0.500, 0.750), Cu at (0.000, 0.000, 0.500), Cu at (0.000, 0.500, 0.250), F at (0.154, 0.301, 0.575) and F at (0.199, 0.788, 0.187).

Its total energy is -4.130 eV/atom. The value obtained for the density of states at the Fermi level is 8.1 states/eV/cell.